Entry 1:
A plane-wave DFT calculation with PBE was carried out for crystalline Cs2MgTl2 at its relaxed geometry.

a b c (Å): 8.2085 8.2085 6.5881
angles (deg): 90.00 90.00 90.00
With the nearest neighbours (Å) after each atom.
Sites, in units of the cell vectors:
Cs  0.1817  0.6817  0.5000  6 Tl 3.93-4.21, 5 Cs 4.22-4.25
Cs  0.6817  0.8183  0.5000  6 Tl 3.93-4.21, 5 Cs 4.22-4.25
Cs  0.8183  0.3183  0.5000  6 Tl 3.93-4.21, 5 Cs 4.22-4.25
Cs  0.3183  0.1817  0.5000  6 Tl 3.93-4.21, 5 Cs 4.22-4.25
Tl  0.3658  0.8658  0.0000  1 Tl 3.12, 2 Mg 3.20
Tl  0.8658  0.6342  0.0000  1 Tl 3.12, 2 Mg 3.20
Tl  0.6342  0.1342  0.0000  1 Tl 3.12, 2 Mg 3.20
Tl  0.1342  0.3658  0.0000  1 Tl 3.12, 2 Mg 3.20
Mg  0.0000  0.0000  0.0000  4 Tl 3.20
Mg  0.5000  0.5000  0.0000  4 Tl 3.20

## Properties
DOS(E_F) ... 6.3 states/eV/cell
Volume ... 222.0 Å³/f.u.
Energy ... -1.541 eV per atom
Energy above the most stable polymorph in this dataset ... 130 meV/atom
ρ ... 5.229 Mg/m³
Total magnetic moment ... 0.0 μB per cell

Entry 2:
A plane-wave DFT calculation with PBE was carried out for crystalline Zr4IrOs at its relaxed geometry.

a b c (Å): 4.5679 4.5685 6.4442
angles (deg): 89.96 89.97 90.00
With the nearest neighbours (Å) after each atom.
Sites, in units of the cell vectors:
Zr  0.5012  0.9970  0.2500  2 Os 2.79, 2 Ir 2.80
Zr  0.5014  0.9975  0.7462  2 Os 2.79, 2 Ir 2.80
Zr  0.0014  0.4975  0.7463  2 Os 2.79, 2 Ir 2.80
Zr  0.0012  0.4971  0.2500  2 Os 2.79, 2 Ir 2.80
Ir  0.5013  0.4973  0.9981  8 Zr 2.80
Os  0.0013  0.9972  0.4982  8 Zr 2.79

## Properties
DOS(E_F) ... 6.9 states/eV/cell
Volume ... 134.5 Å³/f.u.
Energy ... -9.425 eV per atom
Energy above the most stable polymorph in this dataset ... 0 meV/atom
ρ ... 9.228 Mg/m³
Total magnetic moment ... 0.0 μB per cell

Entry 3:
A plane-wave DFT calculation with PBE was carried out for crystalline RbPbIF2 at its relaxed geometry.

a b c (Å): 4.9463 4.9463 6.5950
angles (deg): 90.00 90.00 90.00
With the nearest neighbours (Å) after each atom.
Sites, in units of the cell vectors:
Pb  0.0000  0.0000  0.0000  4 F 2.47
I  0.0000  0.0000  0.5000  2 Pb 3.30, 4 Rb 3.50
Rb  0.5000  0.5000  0.5000  4 I 3.50
F  0.0000  0.5000  0.0000  2 Pb 2.47
F  0.5000  0.0000  0.0000  2 Pb 2.47

## Properties
DOS(E_F) ... 0.0 states/eV/cell
Volume ... 161.4 Å³/f.u.
ΔE_f (raw) ... -1.901 eV/atom
Energy ... -3.894 eV per atom
ρ ... 4.709 Mg/m³
Total magnetic moment ... 0.0 μB per cell

Entry 4:
A plane-wave DFT calculation with PBE was carried out for crystalline Rb2BaCe3Se8 at its relaxed geometry.

a b c (Å): 8.8215 8.8215 9.4451
angles (deg): 62.16 62.16 60.00
With the nearest neighbours (Å) after each atom.
Sites, in units of the cell vectors:
Rb  0.1301  0.1301  0.6098  4 Se 3.27-3.35
Rb  0.4976  0.4976  0.5073  6 Se 3.39
Ba  0.8766  0.8766  0.3703  4 Se 3.13-3.43
Ce  0.4986  0.0023  0.0005  6 Se 2.81-3.02
Ce  0.0023  0.4986  0.0005  6 Se 2.81-3.02
Ce  0.4986  0.4986  0.0005  6 Se 2.81-3.02
Se  0.2706  0.2706  0.1881  3 Ce 2.94
Se  0.7329  0.7329  0.8012  3 Ce 3.02
Se  0.2427  0.2427  0.8216  2 Ce 2.81
Se  0.6929  0.2427  0.8216  2 Ce 2.81
Se  0.2427  0.6929  0.8216  2 Ce 2.81
Se  0.7525  0.3019  0.1930  2 Ce 2.88, 1 Ba 3.13
Se  0.3019  0.7525  0.1930  2 Ce 2.88, 1 Ba 3.13
Se  0.7525  0.7525  0.1930  2 Ce 2.88, 1 Ba 3.13

## Properties
Volume ... 536.1 Å³/f.u.
ΔE_f (raw) ... -1.554 eV/atom
Energy ... -5.092 eV per atom
ρ ... 4.214 Mg/m³
Total magnetic moment ... 0.0 μB per cell

Entry 5:
A plane-wave DFT calculation with PBE was carried out for crystalline Na3ZnSb at its relaxed geometry.

a b c (Å): 5.9339 5.9339 5.9339
angles (deg): 90.00 90.00 90.00
With the nearest neighbours (Å) after each atom.
Sites, in units of the cell vectors:
Sb  0.0000  0.0000  0.0000  6 Na 2.97
Zn  0.5000  0.5000  0.5000  12 Na 4.20
Na  0.0000  0.5000  0.0000  2 Sb 2.97
Na  0.0000  0.0000  0.5000  2 Sb 2.97
Na  0.5000  0.0000  0.0000  2 Sb 2.97

## Properties
DOS(E_F) ... 0.0 states/eV/cell
Volume ... 208.9 Å³/f.u.
ΔE_f (raw) ... -0.056 eV/atom
Energy ... -1.927 eV per atom
Energy above the most stable polymorph in this dataset ... 0 meV/atom
ρ ... 2.036 Mg/m³
Total magnetic moment ... 0.0 μB per cell

Entry 6:
A plane-wave DFT calculation with PBE was carried out for crystalline TlCuSe2 at its relaxed geometry.

a b c (Å): 3.9512 3.7562 6.2973
angles (deg): 90.00 90.00 90.00
With the nearest neighbours (Å) after each atom.
Sites, in units of the cell vectors:
Cu  0.0000  0.5000  0.5000  4 Tl 2.73
Se  0.0000  0.0000  0.0000  4 Se 2.73
Se  0.5000  0.5000  0.0000  4 Se 2.73
Tl  0.5000  0.0000  0.5000  4 Cu 2.73

## Properties
DOS(E_F) ... 2.6 states/eV/cell
Volume ... 93.5 Å³/f.u.
ΔE_f (raw) ... 0.312 eV/atom
Energy ... -3.046 eV per atom
ρ ... 7.566 Mg/m³
Total magnetic moment ... 0.0 μB per cell

Entry 7:
A plane-wave DFT calculation with PBE was carried out for crystalline Pm3NdS6 at its relaxed geometry.

a b c (Å): 4.0877 11.2997 11.6024
angles (deg): 108.20 90.00 90.00
With the nearest neighbours (Å) after each atom.
Sites, in units of the cell vectors:
Pm  0.7500  0.4335  0.8308  6 S 2.74-2.87
Pm  0.2500  0.5665  0.1692  6 S 2.74-2.87
Pm  0.7500  0.6820  0.5045  7 S 2.77-3.03
Pm  0.2500  0.3180  0.4955  7 S 2.77-3.03
Pm  0.7500  0.1613  0.0842  6 S 2.74-2.88
Pm  0.2500  0.8387  0.9158  6 S 2.74-2.88
Nd  0.7500  0.0456  0.6898  8 S 2.91-3.12
Nd  0.2500  0.9544  0.3102  8 S 2.91-3.12
S  0.7500  0.4770  0.6109  4 Pm 2.74-2.95
S  0.2500  0.5230  0.3891  4 Pm 2.74-2.95
S  0.7500  0.9171  0.0986  3 Pm 2.82-2.88, 2 Nd 3.12
S  0.2500  0.0829  0.9014  3 Pm 2.82-2.88, 2 Nd 3.12
S  0.7500  0.4001  0.0639  4 Pm 2.78-2.85
S  0.2500  0.5999  0.9361  4 Pm 2.78-2.85
S  0.7500  0.7445  0.2768  3 Pm 2.87-2.94, 2 Nd 3.06
S  0.2500  0.2555  0.7232  3 Pm 2.87-2.94, 2 Nd 3.06
S  0.7500  0.1122  0.4616  3 Nd 2.91-2.97, 2 Pm 3.03
S  0.2500  0.8878  0.5384  3 Nd 2.91-2.97, 2 Pm 3.03
S  0.7500  0.8102  0.7515  3 Pm 2.74-2.78, 1 Nd 2.96
S  0.2500  0.1898  0.2485  3 Pm 2.74-2.78, 1 Nd 2.96

## Properties
Volume ... 254.6 Å³/f.u.
ΔE_f (raw) ... -2.053 eV/atom
Energy ... -6.432 eV per atom
Energy above the most stable polymorph in this dataset ... 0 meV/atom
ρ ... 5.034 Mg/m³
Total magnetic moment ... 0.0 μB per cell

Entry 8:
A plane-wave DFT calculation with PBE was carried out for crystalline TcSb6Os at its relaxed geometry.

a b c (Å): 8.1536 8.1536 8.2439
angles (deg): 109.50 109.53 108.93
With the nearest neighbours (Å) after each atom.
Sites, in units of the cell vectors:
Tc  0.0000  0.0000  0.5000  6 Sb 2.65-2.66
Tc  0.5000  0.5000  0.5000  6 Sb 2.65-2.66
Sb  0.1569  0.6683  0.8251  2 Os 2.65, 1 Sb 2.94
Sb  0.8431  0.3317  0.1749  2 Os 2.65, 1 Sb 2.94
Sb  0.8459  0.6623  0.5082  2 Tc 2.66, 1 Sb 2.94
Sb  0.1541  0.3377  0.4918  2 Tc 2.66, 1 Sb 2.94
Sb  0.8261  0.1566  0.6736  1 Os 2.63, 1 Tc 2.65, 1 Sb 2.93
Sb  0.1739  0.8434  0.3264  1 Os 2.63, 1 Tc 2.65, 1 Sb 2.93
Sb  0.5170  0.8475  0.6736  1 Os 2.63, 1 Tc 2.65, 1 Sb 2.93
Sb  0.4830  0.1525  0.3264  1 Os 2.63, 1 Tc 2.65, 1 Sb 2.93
Sb  0.6691  0.8225  0.1554  1 Os 2.64, 1 Tc 2.65, 1 Sb 2.92
Sb  0.3309  0.1775  0.8446  1 Os 2.64, 1 Tc 2.65, 1 Sb 2.92
Sb  0.6671  0.5136  0.8446  1 Os 2.64, 1 Tc 2.65, 1 Sb 2.92
Sb  0.3329  0.4864  0.1554  1 Os 2.64, 1 Tc 2.65, 1 Sb 2.92
Os  0.0000  0.5000  0.0000  6 Sb 2.63-2.65
Os  0.5000  0.0000  0.0000  6 Sb 2.63-2.65

## Properties
DOS(E_F) ... 18.8 states/eV/cell
Volume ... 212.1 Å³/f.u.
ΔE_f (raw) ... 0.074 eV/atom
Energy ... -5.718 eV per atom
ρ ... 7.976 Mg/m³
Total magnetic moment ... 0.0 μB per cell

Entry 9:
A plane-wave DFT calculation with PBE was carried out for crystalline Dy6CuSb3 at its relaxed geometry.

a b c (Å): 7.0238 9.3898 9.3898
angles (deg): 106.91 90.00 90.00
With the nearest neighbours (Å) after each atom.
Sites, in units of the cell vectors:
Dy  0.1242  0.7395  0.6369  4 Sb 3.03-3.18
Dy  0.6242  0.6369  0.7395  4 Sb 3.03-3.18
Dy  0.2131  0.4420  0.9017  1 Cu 2.85, 3 Sb 3.01-3.10
Dy  0.7131  0.9017  0.4420  1 Cu 2.85, 3 Sb 3.01-3.10
Dy  0.2818  0.9807  0.0193  2 Cu 2.77-3.05, 2 Sb 3.06
Dy  0.6908  0.2538  0.7462  1 Cu 2.97, 2 Sb 3.27
Dy  0.1908  0.7462  0.2538  1 Cu 2.97, 2 Sb 3.27
Dy  0.7818  0.0193  0.9807  2 Cu 2.77-3.05, 2 Sb 3.06
Dy  0.2131  0.0983  0.5580  1 Cu 2.85, 3 Sb 3.01-3.10
Dy  0.7131  0.5580  0.0983  1 Cu 2.85, 3 Sb 3.01-3.10
Dy  0.1242  0.3631  0.2605  4 Sb 3.03-3.18
Dy  0.6242  0.2605  0.3631  4 Sb 3.03-3.18
Cu  0.0528  0.1527  0.8473  5 Dy 2.77-3.05
Cu  0.5528  0.8473  0.1527  5 Dy 2.77-3.05
Sb  0.4833  0.9359  0.7206  7 Dy 3.01-3.27
Sb  0.9833  0.7206  0.9359  7 Dy 3.01-3.27
Sb  0.3186  0.4218  0.5782  6 Dy 3.03-3.18
Sb  0.8186  0.5782  0.4218  6 Dy 3.03-3.18
Sb  0.9833  0.0641  0.2794  7 Dy 3.01-3.27
Sb  0.4833  0.2794  0.0641  7 Dy 3.01-3.27

## Properties
DOS(E_F) ... 16.7 states/eV/cell
Volume ... 296.3 Å³/f.u.
ΔE_f (raw) ... -0.537 eV/atom
Energy ... -4.945 eV per atom
ρ ... 7.869 Mg/m³
Total magnetic moment ... 0.0 μB per cell

Entry 10:
A plane-wave DFT calculation with PBE was carried out for crystalline SrAcHgPd at its relaxed geometry.

a b c (Å): 4.3632 4.5037 6.6926
angles (deg): 90.00 109.02 90.00
With the nearest neighbours (Å) after each atom.
Sites, in units of the cell vectors:
Sr  0.1486  0.0000  0.2972  4 Hg 3.27, 1 Pd 3.31
Ac  0.8653  0.5000  0.7306  4 Pd 3.19, 2 Hg 3.44
Hg  0.5756  0.5000  0.1512  2 Pd 3.07, 4 Sr 3.27
Pd  0.4105  0.0000  0.8210  2 Hg 3.07, 4 Ac 3.19, 1 Sr 3.31

## Properties
DOS(E_F) ... 2.3 states/eV/cell
Volume ... 124.3 Å³/f.u.
Energy ... -3.432 eV per atom
Energy above the most stable polymorph in this dataset ... 0 meV/atom
ρ ... 8.302 Mg/m³
Total magnetic moment ... 0.0 μB per cell

Q: Which value of volume does entry 7 give?
A: 254.6 Å³/f.u.

Q: Among the records above, which one has the lowest energy?
A: Zr4IrOs